[1]
A geometry-optimized BePt structure, computed with PBE.

Unit cell a=7.6416 b=7.6416 c=3.7995 alpha=90.00 beta=90.00 gamma=90.00
Closest atoms and distances in Å follow each position.
Sites, in units of the cell vectors:
Be  0.3116  0.4219  0.0000  4 Pt 2.20-2.30, 2 Be 2.20
Be  0.4219  0.6884  0.0000  4 Pt 2.20-2.30, 2 Be 2.20
Be  0.5781  0.3116  0.0000  4 Pt 2.20-2.30, 2 Be 2.20
Be  0.9219  0.1884  0.5000  4 Pt 2.20-2.30, 2 Be 2.20
Be  0.0781  0.8116  0.5000  4 Pt 2.20-2.30, 2 Be 2.20
Be  0.6884  0.5781  0.0000  4 Pt 2.20-2.30, 2 Be 2.20
Be  0.8116  0.9219  0.5000  4 Pt 2.20-2.30, 2 Be 2.20
Be  0.1884  0.0781  0.5000  4 Pt 2.20-2.30, 2 Be 2.20
Pt  0.8488  0.6364  0.5000  4 Be 2.20-2.30
Pt  0.3636  0.8488  0.5000  4 Be 2.20-2.30
Pt  0.1364  0.6512  0.0000  4 Be 2.20-2.30
Pt  0.3488  0.1364  0.0000  4 Be 2.20-2.30
Pt  0.1512  0.3636  0.5000  4 Be 2.20-2.30
Pt  0.6364  0.1512  0.5000  4 Be 2.20-2.30
Pt  0.8636  0.3488  0.0000  4 Be 2.20-2.30
Pt  0.6512  0.8636  0.0000  4 Be 2.20-2.30

Summary:
- Formation energy: -0.24 eV/atom

[2]
A geometry-optimized Ba2Tl2Sn structure, computed with PBE.

Unit cell a=5.6787 b=5.6787 c=7.7748 alpha=68.58 beta=68.58 gamma=90.00
Closest atoms and distances in Å follow each position.
Sites, in units of the cell vectors:
Sn  0.0000  0.0000  0.0000  8 Tl 4.24, 8 Ba 4.38
Tl  0.6025  0.6025  0.7951  1 Tl 2.73
Tl  0.3975  0.3975  0.2049  1 Tl 2.73
Ba  0.7500  0.2500  0.5000  4 Tl 3.45
Ba  0.2500  0.7500  0.5000  4 Tl 3.45

Summary:
- Formation energy: 0.03 eV/atom
- Relative energy among the computed polymorphs: 489 meV per atom

[3]
A geometry-optimized AsHAu3 structure, computed with PBE.

Unit cell a=4.9431 b=4.9431 c=4.9431 alpha=90.00 beta=90.00 gamma=90.00
Closest atoms and distances in Å follow each position.
Sites, in units of the cell vectors:
Au  0.0000  0.0000  0.5000  2 As 2.47
Au  0.0000  0.5000  0.0000  2 As 2.47
Au  0.5000  0.0000  0.0000  2 As 2.47
H  0.5000  0.5000  0.5000  12 Au 3.50
As  0.0000  0.0000  0.0000  6 Au 2.47

Summary:
- Relative energy among the computed polymorphs: 353 meV per atom

[4]
A geometry-optimized LaY6Ni3 structure, computed with PBE.

Unit cell a=7.1269 b=8.5856 c=8.5856 alpha=99.30 beta=90.00 gamma=90.00
Closest atoms and distances in Å follow each position.
Sites, in units of the cell vectors:
Ni  0.3744  0.4205  0.5795  1 La 2.63, 5 Y 2.70-2.87
Ni  0.9539  0.7013  0.9138  5 Y 2.68-2.98
Ni  0.8744  0.5795  0.4205  1 La 2.63, 5 Y 2.70-2.87
Ni  0.4539  0.2987  0.0862  5 Y 2.68-2.98
Ni  0.4539  0.9138  0.7013  5 Y 2.68-2.98
Ni  0.9539  0.0862  0.2987  5 Y 2.68-2.98
Y  0.8178  0.9662  0.5854  2 Ni 2.84-2.98
Y  0.1669  0.0285  0.9715  4 Ni 3.13-3.16
Y  0.5089  0.2274  0.7726  3 Ni 2.69-2.70
Y  0.0089  0.7726  0.2274  3 Ni 2.69-2.70
Y  0.3178  0.5854  0.9662  2 Ni 2.84-2.98
Y  0.6669  0.9715  0.0285  4 Ni 3.13-3.16
Y  0.3178  0.0338  0.4146  2 Ni 2.84-2.98
Y  0.1685  0.7108  0.6305  4 Ni 2.68-2.89
Y  0.6685  0.6305  0.7108  4 Ni 2.68-2.89
Y  0.1685  0.3695  0.2892  4 Ni 2.68-2.89
Y  0.8178  0.4146  0.0338  2 Ni 2.84-2.98
Y  0.6685  0.2892  0.3695  4 Ni 2.68-2.89
La  0.5548  0.6800  0.3200  1 Ni 2.63
La  0.0548  0.3200  0.6800  1 Ni 2.63

Summary:
- Formation energy: -0.21 eV/atom

Number 1: M_tot 0.00 μB/f.u.. Number 2: M_tot 0.00 μB/f.u.. Number 3: M_tot 1.00 μB/f.u.. Number 4: M_tot 0.00 μB/f.u..